# 1
PaFe3Co, optimized geometry, DFT PBE; mass density = 10.6 g cm⁻³; DOS at the Fermi energy = 1.11 states/eV/atom; V = 14.28 A^3/atom; DFT total energy = -8.425 eV/atom; energy relative to the elements = -0.0272 eV/atom
1.0
-4.7375 0.0908 -0.6011
-0.6149 -2.0772 4.5329
0.0999 6.4572 0.1885
Co Fe Pa
2 6 2
direct
0.5000 0.0000 0.0000 Co
0.0000 0.0000 0.0000 Co
0.2500 0.3922 0.2986 Fe
0.7500 0.1793 0.3586 Fe
0.7500 0.0936 0.7014 Fe
0.2500 0.9064 0.2986 Fe
0.2500 0.8207 0.6414 Fe
0.7500 0.6078 0.7014 Fe
0.2500 0.3887 0.7774 Pa
0.7500 0.6113 0.2226 Pa

# 2
Pa4Fe2Co, optimized geometry, DFT PBE; mass density = 13.3 g cm⁻³; DOS at the Fermi energy = 1.02 states/eV/atom; V = 19.48 A^3/atom; DFT total energy = -9.079 eV/atom; energy relative to the elements = -0.2196 eV/atom
1.0
6.6113 -0.3730 -2.0345
-2.7756 6.1422 -2.1365
-0.2184 -0.3571 7.1444
Pa Fe Co
8 4 2
direct
0.6196 0.8625 0.1406 Pa
0.5180 0.3813 0.2523 Pa
0.6262 0.8795 0.6486 Pa
0.1259 0.2676 0.7397 Pa
0.1362 0.7779 0.7603 Pa
0.7276 0.4808 0.8514 Pa
0.2289 0.9718 0.3594 Pa
0.0157 0.3790 0.2477 Pa
0.3760 0.5028 0.6210 Fe
0.8756 0.7492 0.3824 Fe
0.2432 0.6168 0.1176 Fe
0.5051 0.1318 0.8790 Fe
0.7470 0.2455 0.4919 Co
0.0051 0.0035 0.0081 Co

# 3
Pa2FeCo, optimized geometry, DFT PBE; E above lowest polymorph = 0 meV per atom; mass density = 13.0 g cm⁻³; DOS at the Fermi energy = 0.93 states/eV/atom; V = 18.37 A^3/atom; DFT total energy = -8.977 eV/atom; energy relative to the elements = -0.3370 eV/atom
1.0
-1.7789 1.9850 -2.6294
-4.3305 0.9489 3.6462
4.9121 5.2873 0.6683
Fe Pa Co
2 4 2
direct
0.7500 0.6988 0.7947 Fe
0.2500 0.3012 0.2053 Fe
0.7500 0.2296 0.4303 Pa
0.7500 0.2314 0.9392 Pa
0.2500 0.7686 0.0608 Pa
0.2500 0.7704 0.5697 Pa
0.7500 0.6923 0.2971 Co
0.2500 0.3077 0.7029 Co

# 4
PaFeCo4, optimized geometry, DFT PBE; E above lowest polymorph = 0 meV per atom; mass density = 10.7 g cm⁻³; DOS at the Fermi energy = 1.40 states/eV/atom; V = 13.47 A^3/atom; DFT total energy = -7.853 eV/atom; energy relative to the elements = -0.1225 eV/atom
1.0
-1.6072 3.2853 3.1891
-4.6518 -0.0322 1.3804
-1.1853 -1.3669 4.5025
Co Fe Pa
4 1 1
direct
0.6259 0.6259 0.1223 Co
0.1223 0.6259 0.6259 Co
0.6259 0.6259 0.6259 Co
0.6259 0.1223 0.6259 Co
0.0000 0.0000 0.0000 Fe
0.2500 0.2500 0.2500 Pa

# 5
Pa2Fe2Co15, optimized geometry, DFT PBE; mass density = 10.2 g cm⁻³; DOS at the Fermi energy = 1.06 states/eV/atom; V = 12.55 A^3/atom; DFT total energy = -7.638 eV/atom; energy relative to the elements = -0.1377 eV/atom
1.0
6.1959 -0.0123 0.7967
0.6993 6.1564 0.7967
-0.0138 -0.0123 6.2469
Pa Co Fe
2 15 2
direct
0.3445 0.3445 0.3445 Pa
0.6555 0.6555 0.6555 Pa
0.0000 0.2910 0.7090 Co
0.7090 0.2910 0.0000 Co
0.6501 0.1506 0.6501 Co
0.5000 0.0000 0.0000 Co
0.1506 0.6501 0.6501 Co
0.2910 0.7090 0.0000 Co
0.2910 0.0000 0.7090 Co
0.7090 0.0000 0.2910 Co
0.0000 0.0000 0.5000 Co
0.3499 0.8494 0.3499 Co
0.3499 0.3499 0.8494 Co
0.0000 0.7090 0.2910 Co
0.8494 0.3499 0.3499 Co
0.6501 0.6501 0.1506 Co
0.0000 0.5000 0.0000 Co
0.9006 0.9006 0.9006 Fe
0.0994 0.0994 0.0994 Fe

# 6
PaFeCo3, optimized geometry, DFT PBE; mass density = 10.9 g cm⁻³; DOS at the Fermi energy = 1.18 states/eV/atom; V = 14.07 A^3/atom; DFT total energy = -7.945 eV/atom; energy relative to the elements = -0.0894 eV/atom
1.0
-0.7136 -3.2400 3.6933
7.9151 0.6415 2.0920
-4.3751 3.9002 -0.7606
Fe Co Pa
2 6 2
direct
0.0000 0.5000 0.0000 Fe
0.5000 0.0000 0.0000 Fe
0.8082 0.3082 0.1165 Co
0.3082 0.3082 0.1165 Co
0.2500 0.9572 0.5000 Co
0.6918 0.6918 0.8835 Co
0.7500 0.0428 0.5000 Co
0.1918 0.6918 0.8835 Co
0.7500 0.7428 0.5000 Pa
0.2500 0.2572 0.5000 Pa

# 7
PaFeCo2, optimized geometry, DFT PBE; mass density = 10.1 g cm⁻³; DOS at the Fermi energy = 1.21 states/eV/atom; V = 16.63 A^3/atom; DFT total energy = -7.747 eV/atom; energy relative to the elements = 0.2959 eV/atom
1.0
7.4271 0.0000 0.0000
0.0000 5.1118 0.0000
0.0000 0.0000 7.0083
Pa Co Fe
4 8 4
direct
0.0000 0.7500 0.3569 Pa
0.0000 0.2500 0.6431 Pa
0.5000 0.7500 0.1959 Pa
0.5000 0.2500 0.8041 Pa
0.5000 0.5000 0.5000 Co
0.7431 0.2500 0.0511 Co
0.0000 0.0000 0.0000 Co
0.0000 0.5000 0.0000 Co
0.2569 0.7500 0.9489 Co
0.7431 0.7500 0.9489 Co
0.2569 0.2500 0.0511 Co
0.5000 0.0000 0.5000 Co
0.0000 0.2500 0.3236 Fe
0.0000 0.7500 0.6764 Fe
0.5000 0.2500 0.2293 Fe
0.5000 0.7500 0.7707 Fe

# 8
Pa6FeCo2, optimized geometry, DFT PBE; mass density = 14.2 g cm⁻³; DOS at the Fermi energy = 1.42 states/eV/atom; V = 20.28 A^3/atom; DFT total energy = -9.024 eV/atom; energy relative to the elements = -0.1742 eV/atom
1.0
3.4047 0.0000 0.0000
0.0000 6.4287 -3.6987
0.0000 0.3909 8.1150
Pa Fe Co
6 1 2
direct
0.0000 0.7375 0.7471 Pa
0.5000 0.0403 0.6102 Pa
0.0000 0.9903 0.2529 Pa
0.5000 0.4301 0.3898 Pa
0.0000 0.2479 0.0000 Pa
0.5000 0.5705 0.0000 Pa
0.5000 0.9782 0.0000 Fe
0.0000 0.6789 0.3525 Co
0.0000 0.3264 0.6475 Co

# 9
Pa2Fe5Co5, optimized geometry, DFT PBE; mass density = 10.4 g cm⁻³; DOS at the Fermi energy = 1.42 states/eV/atom; V = 13.82 A^3/atom; DFT total energy = -8.193 eV/atom; energy relative to the elements = -0.1239 eV/atom
1.0
4.0443 0.0000 0.0000
0.0000 5.0069 0.0000
0.0000 0.0000 8.1903
Fe Co Pa
5 5 2
direct
0.0000 0.0000 0.1830 Fe
0.5000 0.0000 0.0000 Fe
0.0000 0.0000 0.8170 Fe
0.0000 0.5000 0.3185 Fe
0.0000 0.5000 0.6815 Fe
0.5000 0.5000 0.5000 Co
0.5000 0.2501 0.7492 Co
0.5000 0.7499 0.7492 Co
0.5000 0.2501 0.2508 Co
0.5000 0.7499 0.2508 Co
0.0000 0.5000 0.0000 Pa
0.0000 0.0000 0.5000 Pa

# 10
Pa2FeCo, optimized geometry, DFT PBE; E above lowest polymorph = 290 meV per atom; mass density = 13.3 g cm⁻³; DOS at the Fermi energy = 1.74 states/eV/atom; V = 18.05 A^3/atom; DFT total energy = -8.687 eV/atom; energy relative to the elements = -0.0474 eV/atom
1.0
-2.2460 -2.3652 0.3118
1.3379 -1.6033 -2.5249
4.0550 -3.2917 4.2388
Co Pa Fe
1 2 1
direct
0.5000 0.5000 0.0000 Co
0.0000 0.0000 0.7514 Pa
0.0000 0.0000 0.2486 Pa
0.5000 0.5000 0.5000 Fe

Look up the DFT total energy of the third one. -8.977 eV/atom

Number 10 is which compound? Pa2FeCo

What did the tenth record say?
Pa2FeCo, optimized geometry, DFT PBE; E above lowest polymorph = 290 meV per atom; mass density = 13.3 g cm⁻³; DOS at the Fermi energy = 1.74 states/eV/atom; V = 18.05 A^3/atom; DFT total energy = -8.687 eV/atom; energy relative to the elements = -0.0474 eV/atom
1.0
-2.2460 -2.3652 0.3118
1.3379 -1.6033 -2.5249
4.0550 -3.2917 4.2388
Co Pa Fe
1 2 1
direct
0.5000 0.5000 0.0000 Co
0.0000 0.0000 0.7514 Pa
0.0000 0.0000 0.2486 Pa
0.5000 0.5000 0.5000 Fe